## w
Li7Mn4CoO12: relaxed, PBE+U.

As for the space-group type: P1. Its total moment is 16.0 μB per cell.

CIF file:
```
data_Li7Mn4CoO12
_symmetry_space_group_name_H-M 'P 1'
_symmetry_Int_Tables_number 1
_cell_length_a 5.034
_cell_length_b 5.166
_cell_length_c 8.787
_cell_angle_alpha 73.71
_cell_angle_beta 84.66
_cell_angle_gamma 79.39
loop_
_symmetry_equiv_pos_as_xyz
'x,y,z'
loop_
_atom_site_label
_atom_site_type_symbol
_atom_site_fract_x
_atom_site_fract_y
_atom_site_fract_z
Li1 Li 0.253 0.418 0.083
Li2 Li 0.758 0.581 0.908
Li3 Li 0.247 0.767 0.739
Li4 Li 0.243 0.084 0.428
Li5 Li 0.743 0.243 0.255
Li6 Li 0.756 0.912 0.587
Li7 Li 0.000 0.338 0.664
Mn1 Mn 0.000 0.005 0.998
Mn2 Mn 0.497 0.492 0.503
Mn3 Mn 0.998 0.657 0.339
Mn4 Mn 0.498 0.832 0.166
Co1 Co 0.503 0.183 0.825
O1 O 0.127 0.013 0.203
O2 O 0.654 0.208 0.035
O3 O 0.140 0.332 0.887
O4 O 0.137 0.699 0.529
O5 O 0.618 0.841 0.371
O6 O 0.606 0.537 0.697
O7 O 0.361 0.806 0.968
O8 O 0.867 0.966 0.810
O9 O 0.396 0.151 0.621
O10 O 0.365 0.454 0.307
O11 O 0.874 0.661 0.125
O12 O 0.856 0.320 0.451
```

## x
Li7Mn4CoO12: relaxed, PBE+U.

As for the space-group type: P1. Its total moment is 4.0 μB per cell.

CIF file:
```
data_Li7Mn4CoO12
_symmetry_space_group_name_H-M 'P 1'
_symmetry_Int_Tables_number 1
_cell_length_a 2.977
_cell_length_b 8.212
_cell_length_c 9.929
_cell_angle_alpha 113.96
_cell_angle_beta 93.47
_cell_angle_gamma 89.94
loop_
_symmetry_equiv_pos_as_xyz
'x,y,z'
loop_
_atom_site_label
_atom_site_type_symbol
_atom_site_fract_x
_atom_site_fract_y
_atom_site_fract_z
Li1 Li 0.070 0.824 0.640
Li2 Li 0.492 0.353 0.170
Li3 Li 0.547 0.975 0.480
Li4 Li 0.958 0.508 0.012
Li5 Li 0.019 0.165 0.342
Li6 Li 0.426 0.673 0.853
Li7 Li 0.016 0.670 0.335
Mn1 Mn 0.954 0.003 0.007
Mn2 Mn 0.543 0.504 0.494
Mn3 Mn 0.474 0.171 0.836
Mn4 Mn 0.025 0.328 0.661
Co1 Co 0.489 0.816 0.179
O1 O 0.431 0.939 0.860
O2 O 0.017 0.426 0.354
O3 O 0.019 0.094 0.674
O4 O 0.485 0.590 0.160
O5 O 0.558 0.264 0.503
O6 O 0.959 0.774 0.007
O7 O 0.541 0.731 0.501
O8 O 0.938 0.237 0.998
O9 O 0.017 0.916 0.322
O10 O 0.474 0.405 0.825
O11 O 0.481 0.072 0.146
O12 O 0.066 0.562 0.643
```

## y
Li7Mn4CoO12: relaxed, PBE+U.

As for the space-group type: Pm. Its total moment is 12.0 μB per cell.

CIF file:
```
data_Li7Mn4CoO12
_symmetry_space_group_name_H-M 'P 1'
_symmetry_Int_Tables_number 1
_cell_length_a 2.947
_cell_length_b 5.955
_cell_length_c 12.584
_cell_angle_alpha 75.46
_cell_angle_beta 90.00
_cell_angle_gamma 90.00
loop_
_symmetry_equiv_pos_as_xyz
'x,y,z'
loop_
_atom_site_label
_atom_site_type_symbol
_atom_site_fract_x
_atom_site_fract_y
_atom_site_fract_z
Li1 Li 0.500 0.159 0.168
Li2 Li 0.500 0.492 0.500
Li3 Li 0.500 0.836 0.834
Li4 Li 0.000 0.831 0.323
Li5 Li 0.000 0.164 0.665
Li6 Li 0.000 0.501 0.015
Li7 Li 0.500 0.669 0.170
Mn1 Mn 0.000 0.987 0.007
Mn2 Mn 0.000 0.338 0.327
Mn3 Mn 0.000 0.681 0.664
Mn4 Mn 0.500 0.331 0.831
Co1 Co 0.500 0.006 0.498
O1 O 0.500 0.233 0.991
O2 O 0.500 0.546 0.337
O3 O 0.500 0.922 0.657
O4 O 0.000 0.925 0.157
O5 O 0.000 0.226 0.491
O6 O 0.000 0.585 0.823
O7 O 0.500 0.104 0.340
O8 O 0.500 0.423 0.672
O9 O 0.500 0.773 0.002
O10 O 0.000 0.780 0.504
O11 O 0.000 0.086 0.841
O12 O 0.000 0.405 0.181
```

x is the most stable structure; the next one sits 1.7 kJ/mol of atoms above it.

## w
Li7Mn4CoO12: relaxed, PBE+U.

As for the space-group type: C2/m. Its total moment is 16.0 μB per cell.

CIF file:
```
data_Li7Mn4CoO12
_symmetry_space_group_name_H-M 'P 1'
_symmetry_Int_Tables_number 1
_cell_length_a 5.088
_cell_length_b 5.088
_cell_length_c 15.752
_cell_angle_alpha 82.46
_cell_angle_beta 82.46
_cell_angle_gamma 32.75
loop_
_symmetry_equiv_pos_as_xyz
'x,y,z'
loop_
_atom_site_label
_atom_site_type_symbol
_atom_site_fract_x
_atom_site_fract_y
_atom_site_fract_z
Li1 Li 0.500 0.500 0.500
Li2 Li 0.271 0.271 0.737
Li3 Li 0.729 0.729 0.263
Li4 Li 0.750 0.750 0.919
Li5 Li 0.250 0.250 0.081
Li6 Li 0.239 0.239 0.428
Li7 Li 0.761 0.761 0.572
Mn1 Mn 0.023 0.023 0.654
Mn2 Mn 0.977 0.977 0.346
Mn3 Mn 0.514 0.514 0.828
Mn4 Mn 0.486 0.486 0.172
Co1 Co 0.000 0.000 0.000
O1 O 0.404 0.404 0.627
O2 O 0.596 0.596 0.373
O3 O 0.908 0.908 0.782
O4 O 0.092 0.092 0.218
O5 O 0.389 0.389 0.962
O6 O 0.611 0.611 0.038
O7 O 0.875 0.875 0.130
O8 O 0.125 0.125 0.870
O9 O 0.368 0.368 0.302
O10 O 0.632 0.632 0.698
O11 O 0.875 0.875 0.451
O12 O 0.125 0.125 0.549
```

## x
Li7Mn4CoO12: relaxed, PBE+U.

As for the space-group type: C2. Its total moment is 16.0 μB per cell.

CIF file:
```
data_Li7Mn4CoO12
_symmetry_space_group_name_H-M 'P 1'
_symmetry_Int_Tables_number 1
_cell_length_a 6.492
_cell_length_b 6.492
_cell_length_c 5.246
_cell_angle_alpha 84.37
_cell_angle_beta 84.37
_cell_angle_gamma 83.01
loop_
_symmetry_equiv_pos_as_xyz
'x,y,z'
loop_
_atom_site_label
_atom_site_type_symbol
_atom_site_fract_x
_atom_site_fract_y
_atom_site_fract_z
Li1 Li 0.083 0.417 0.756
Li2 Li 0.583 0.917 0.244
Li3 Li 0.924 0.594 0.262
Li4 Li 0.406 0.076 0.738
Li5 Li 0.748 0.744 0.756
Li6 Li 0.256 0.252 0.244
Li7 Li 0.169 0.831 0.500
Mn1 Mn 0.001 0.999 0.000
Mn2 Mn 0.333 0.667 0.000
Mn3 Mn 0.835 0.165 0.500
Mn4 Mn 0.666 0.334 0.000
Co1 Co 0.499 0.501 0.500
O1 O 0.952 0.281 0.108
O2 O 0.449 0.763 0.652
O3 O 0.781 0.453 0.606
O4 O 0.283 0.949 0.101
O5 O 0.613 0.617 0.113
O6 O 0.099 0.116 0.654
O7 O 0.237 0.551 0.348
O8 O 0.719 0.048 0.892
O9 O 0.051 0.717 0.899
O10 O 0.547 0.219 0.394
O11 O 0.884 0.901 0.346
O12 O 0.383 0.387 0.887
```

x is the most stable structure; the next one sits 1.8 kJ/mol of atoms above it.

## w
Li7Mn4CoO12: relaxed, PBE+U.

As for the space-group type: P1. Its total moment is 16.0 μB per cell.

CIF file:
```
data_Li7Mn4CoO12
_symmetry_space_group_name_H-M 'P 1'
_symmetry_Int_Tables_number 1
_cell_length_a 5.896
_cell_length_b 5.948
_cell_length_c 6.541
_cell_angle_alpha 103.24
_cell_angle_beta 104.09
_cell_angle_gamma 88.45
loop_
_symmetry_equiv_pos_as_xyz
'x,y,z'
loop_
_atom_site_label
_atom_site_type_symbol
_atom_site_fract_x
_atom_site_fract_y
_atom_site_fract_z
Li1 Li 0.168 0.159 0.651
Li2 Li 0.835 0.335 0.337
Li3 Li 0.499 0.512 0.014
Li4 Li 0.169 0.675 0.659
Li5 Li 0.819 0.817 0.335
Li6 Li 0.501 0.993 0.004
Li7 Li 0.334 0.834 0.338
Mn1 Mn 0.002 0.996 0.000
Mn2 Mn 0.339 0.338 0.332
Mn3 Mn 0.662 0.163 0.664
Mn4 Mn 0.002 0.504 0.003
Co1 Co 0.657 0.670 0.663
O1 O 0.908 0.937 0.677
O2 O 0.579 0.102 0.351
O3 O 0.251 0.277 0.018
O4 O 0.903 0.405 0.688
O5 O 0.568 0.564 0.339
O6 O 0.215 0.738 0.989
O7 O 0.419 0.393 0.646
O8 O 0.093 0.566 0.317
O9 O 0.762 0.728 0.005
O10 O 0.442 0.942 0.678
O11 O 0.100 0.100 0.310
O12 O 0.772 0.252 0.984
```

## x
Li7Mn4CoO12: relaxed, PBE+U.

As for the space-group type: P1. Its total moment is 6.0 μB per cell.

CIF file:
```
data_Li7Mn4CoO12
_symmetry_space_group_name_H-M 'P 1'
_symmetry_Int_Tables_number 1
_cell_length_a 4.993
_cell_length_b 5.083
_cell_length_c 8.659
_cell_angle_alpha 89.94
_cell_angle_beta 90.19
_cell_angle_gamma 109.07
loop_
_symmetry_equiv_pos_as_xyz
'x,y,z'
loop_
_atom_site_label
_atom_site_type_symbol
_atom_site_fract_x
_atom_site_fract_y
_atom_site_fract_z
Li1 Li 0.001 0.500 0.170
Li2 Li 0.497 0.501 0.341
Li3 Li 0.998 0.501 0.509
Li4 Li 0.499 0.499 0.665
Li5 Li 0.000 0.500 0.821
Li6 Li 0.502 0.499 0.993
Li7 Li 0.000 0.000 0.667
Mn1 Mn 0.002 0.001 0.993
Mn2 Mn 0.499 0.999 0.506
Mn3 Mn 0.501 0.001 0.167
Mn4 Mn 0.998 0.000 0.338
Co1 Co 0.501 0.000 0.831
O1 O 0.258 0.780 0.998
O2 O 0.761 0.778 0.163
O3 O 0.260 0.775 0.337
O4 O 0.745 0.773 0.492
O5 O 0.280 0.772 0.667
O6 O 0.754 0.777 0.844
O7 O 0.735 0.226 0.336
O8 O 0.251 0.225 0.491
O9 O 0.719 0.227 0.666
O10 O 0.249 0.224 0.844
O11 O 0.748 0.220 0.996
O12 O 0.240 0.222 0.165
```

## y
Li7Mn4CoO12: relaxed, PBE+U.

As for the space-group type: P1. Its total moment is 16.0 μB per cell.

CIF file:
```
data_Li7Mn4CoO12
_symmetry_space_group_name_H-M 'P 1'
_symmetry_Int_Tables_number 1
_cell_length_a 5.079
_cell_length_b 5.964
_cell_length_c 7.637
_cell_angle_alpha 81.14
_cell_angle_beta 77.47
_cell_angle_gamma 75.63
loop_
_symmetry_equiv_pos_as_xyz
'x,y,z'
loop_
_atom_site_label
_atom_site_type_symbol
_atom_site_fract_x
_atom_site_fract_y
_atom_site_fract_z
Li1 Li 0.498 0.833 0.163
Li2 Li 0.511 0.335 0.165
Li3 Li 0.490 0.517 0.494
Li4 Li 0.501 0.005 0.495
Li5 Li 0.510 0.151 0.844
Li6 Li 0.489 0.662 0.840
Li7 Li 0.996 0.501 0.002
Mn1 Mn 0.002 0.001 0.001
Mn2 Mn 0.995 0.667 0.330
Mn3 Mn 0.003 0.330 0.668
Mn4 Mn 0.002 0.827 0.669
Co1 Co 0.997 0.177 0.326
O1 O 0.231 0.157 0.089
O2 O 0.217 0.698 0.088
O3 O 0.222 0.833 0.426
O4 O 0.231 0.319 0.423
O5 O 0.220 0.522 0.734
O6 O 0.235 0.979 0.763
O7 O 0.763 0.498 0.263
O8 O 0.768 0.022 0.236
O9 O 0.791 0.140 0.584
O10 O 0.765 0.682 0.579
O11 O 0.776 0.841 0.907
O12 O 0.785 0.304 0.910
```

w is the most stable structure; the next one sits 0.9 kJ/mol of atoms above it.

## w
Li7Mn4CoO12: relaxed, PBE+U.

As for the space-group type: P-1. Its total moment is 10.0 μB per cell.

CIF file:
```
data_Li7Mn4CoO12
_symmetry_space_group_name_H-M 'P 1'
_symmetry_Int_Tables_number 1
_cell_length_a 5.084
_cell_length_b 5.795
_cell_length_c 7.606
_cell_angle_alpha 79.20
_cell_angle_beta 83.89
_cell_angle_gamma 106.65
loop_
_symmetry_equiv_pos_as_xyz
'x,y,z'
loop_
_atom_site_label
_atom_site_type_symbol
_atom_site_fract_x
_atom_site_fract_y
_atom_site_fract_z
Li1 Li 0.496 0.082 0.179
Li2 Li 0.511 0.759 0.485
Li3 Li 0.497 0.418 0.834
Li4 Li 0.489 0.574 0.182
Li5 Li 0.503 0.251 0.488
Li6 Li 0.503 0.915 0.833
Li7 Li 0.000 0.167 0.333
Mn1 Mn 0.997 0.999 0.007
Mn2 Mn 0.003 0.334 0.660
Mn3 Mn 0.999 0.495 0.007
Mn4 Mn 0.001 0.838 0.660
Co1 Co 0.000 0.667 0.333
O1 O 0.230 0.298 0.072
O2 O 0.227 0.938 0.427
O3 O 0.219 0.622 0.758
O4 O 0.222 0.776 0.089
O5 O 0.225 0.463 0.427
O6 O 0.222 0.110 0.752
O7 O 0.775 0.870 0.239
O8 O 0.778 0.557 0.577
O9 O 0.778 0.223 0.915
O10 O 0.773 0.396 0.240
O11 O 0.770 0.035 0.595
O12 O 0.781 0.711 0.909
```

## x
Li7Mn4CoO12: relaxed, PBE+U.

As for the space-group type: P1. Its total moment is 16.0 μB per cell.

CIF file:
```
data_Li7Mn4CoO12
_symmetry_space_group_name_H-M 'P 1'
_symmetry_Int_Tables_number 1
_cell_length_a 5.083
_cell_length_b 5.935
_cell_length_c 7.769
_cell_angle_alpha 102.43
_cell_angle_beta 96.06
_cell_angle_gamma 106.34
loop_
_symmetry_equiv_pos_as_xyz
'x,y,z'
loop_
_atom_site_label
_atom_site_type_symbol
_atom_site_fract_x
_atom_site_fract_y
_atom_site_fract_z
Li1 Li 0.490 0.082 0.840
Li2 Li 0.509 0.578 0.844
Li3 Li 0.511 0.253 0.497
Li4 Li 0.494 0.749 0.496
Li5 Li 0.492 0.426 0.154
Li6 Li 0.501 0.910 0.166
Li7 Li 0.000 0.501 0.002
Mn1 Mn 0.994 0.995 0.002
Mn2 Mn 0.001 0.169 0.670
Mn3 Mn 0.000 0.664 0.671
Mn4 Mn 0.007 0.342 0.329
Co1 Co 0.000 0.827 0.325
O1 O 0.220 0.796 0.908
O2 O 0.219 0.263 0.910
O3 O 0.217 0.945 0.593
O4 O 0.233 0.474 0.574
O5 O 0.229 0.137 0.238
O6 O 0.236 0.608 0.258
O7 O 0.778 0.385 0.739
O8 O 0.766 0.858 0.761
O9 O 0.777 0.535 0.427
O10 O 0.786 0.068 0.423
O11 O 0.765 0.731 0.079
O12 O 0.775 0.202 0.096
```

## y
Li7Mn4CoO12: relaxed, PBE+U.

As for the space-group type: P1. Its total moment is 18.0 μB per cell.

CIF file:
```
data_Li7Mn4CoO12
_symmetry_space_group_name_H-M 'P 1'
_symmetry_Int_Tables_number 1
_cell_length_a 3.008
_cell_length_b 7.662
_cell_length_c 10.173
_cell_angle_alpha 107.36
_cell_angle_beta 87.82
_cell_angle_gamma 97.95
loop_
_symmetry_equiv_pos_as_xyz
'x,y,z'
loop_
_atom_site_label
_atom_site_type_symbol
_atom_site_fract_x
_atom_site_fract_y
_atom_site_fract_z
Li1 Li 0.809 0.661 0.747
Li2 Li 0.145 0.328 0.247
Li3 Li 0.520 0.006 0.743
Li4 Li 0.159 0.335 0.744
Li5 Li 0.506 0.999 0.264
Li6 Li 0.869 0.681 0.260
Li7 Li 0.972 0.989 0.488
Mn1 Mn 0.998 0.000 0.999
Mn2 Mn 0.340 0.672 0.500
Mn3 Mn 0.664 0.333 0.998
Mn4 Mn 0.332 0.668 0.002
Co1 Co 0.670 0.322 0.504
O1 O 0.381 0.830 0.883
O2 O 0.785 0.512 0.400
O3 O 0.048 0.161 0.879
O4 O 0.716 0.499 0.883
O5 O 0.084 0.188 0.387
O6 O 0.408 0.816 0.383
O7 O 0.274 0.496 0.611
O8 O 0.613 0.171 0.116
O9 O 0.876 0.808 0.609
O10 O 0.606 0.187 0.617
O11 O 0.949 0.839 0.119
O12 O 0.275 0.499 0.115
```

x is the most stable structure; the next one sits 4.2 kJ/mol of atoms above it.

## w
Li7Mn4CoO12: relaxed, PBE+U.

As for the space-group type: P1. Its total moment is 16.0 μB per cell.

CIF file:
```
data_Li7Mn4CoO12
_symmetry_space_group_name_H-M 'P 1'
_symmetry_Int_Tables_number 1
_cell_length_a 2.972
_cell_length_b 7.798
_cell_length_c 10.191
_cell_angle_alpha 110.63
_cell_angle_beta 92.20
_cell_angle_gamma 96.54
loop_
_symmetry_equiv_pos_as_xyz
'x,y,z'
loop_
_atom_site_label
_atom_site_type_symbol
_atom_site_fract_x
_atom_site_fract_y
_atom_site_fract_z
Li1 Li 0.232 0.352 0.911
Li2 Li 0.841 0.678 0.598
Li3 Li 0.505 0.000 0.251
Li4 Li 0.827 0.653 0.065
Li5 Li 0.433 0.979 0.753
Li6 Li 0.156 0.335 0.418
Li7 Li 0.332 0.665 0.832
Mn1 Mn 0.965 0.986 0.994
Mn2 Mn 0.698 0.342 0.671
Mn3 Mn 0.339 0.672 0.336
Mn4 Mn 0.643 0.331 0.167
Co1 Co 0.033 0.006 0.501
O1 O 0.514 0.147 0.970
O2 O 0.236 0.479 0.629
O3 O 0.954 0.841 0.306
O4 O 0.270 0.503 0.133
O5 O 0.900 0.847 0.805
O6 O 0.635 0.166 0.471
O7 O 0.763 0.481 0.860
O8 O 0.405 0.840 0.536
O9 O 0.029 0.163 0.197
O10 O 0.427 0.851 0.036
O11 O 0.148 0.183 0.693
O12 O 0.714 0.499 0.367
```

## x
Li7Mn4CoO12: relaxed, PBE+U.

As for the space-group type: P2/m. Its total moment is 6.0 μB per cell.

CIF file:
```
data_Li7Mn4CoO12
_symmetry_space_group_name_H-M 'P 1'
_symmetry_Int_Tables_number 1
_cell_length_a 2.875
_cell_length_b 5.865
_cell_length_c 12.717
_cell_angle_alpha 76.06
_cell_angle_beta 90.00
_cell_angle_gamma 90.00
loop_
_symmetry_equiv_pos_as_xyz
'x,y,z'
loop_
_atom_site_label
_atom_site_type_symbol
_atom_site_fract_x
_atom_site_fract_y
_atom_site_fract_z
Li1 Li 0.500 0.000 0.500
Li2 Li 0.500 0.666 0.165
Li3 Li 0.500 0.334 0.835
Li4 Li 0.000 0.335 0.350
Li5 Li 0.000 0.000 0.000
Li6 Li 0.000 0.665 0.650
Li7 Li 0.500 0.500 0.500
Mn1 Mn 0.000 0.172 0.661
Mn2 Mn 0.000 0.828 0.339
Mn3 Mn 0.500 0.170 0.166
Mn4 Mn 0.500 0.830 0.834
Co1 Co 0.000 0.500 0.000
O1 O 0.500 0.934 0.672
O2 O 0.500 0.612 0.331
O3 O 0.500 0.272 0.005
O4 O 0.000 0.241 0.514
O5 O 0.000 0.933 0.172
O6 O 0.000 0.595 0.842
O7 O 0.500 0.066 0.328
O8 O 0.500 0.728 0.995
O9 O 0.500 0.388 0.669
O10 O 0.000 0.405 0.158
O11 O 0.000 0.067 0.828
O12 O 0.000 0.759 0.486
```

w is the most stable structure; the next one sits 11.4 kJ/mol of atoms above it.